[1]
ZnRuSe2 after structural relaxation. Source: Alexandria, functional GGA-PBE.

Lattice parameters (Å, degrees): 4.5726 4.5726 3.2229 90.00 90.00 100.79
Sites, in units of the cell vectors:
Se (0.5000, 0.5000, 0.0000)
Se (0.0000, 0.0000, 0.0000)
Zn (0.5000, 0.0000, 0.5000)
Ru (0.0000, 0.5000, 0.5000)

- space-group type = No. 65
- final energy (eV/atom) = -4.11



[2]
Ba2Tc2MoN6 after structural relaxation. Source: Alexandria, functional GGA-PBE.

Lattice parameters (Å, degrees): 5.9971 5.9971 6.7648 63.69 63.69 60.00
Sites, in units of the cell vectors:
N (0.7693, 0.7693, 0.2006)
N (0.2307, 0.2307, 0.7994)
N (0.2608, 0.7693, 0.2006)
N (0.2307, 0.7392, 0.7994)
N (0.7693, 0.2608, 0.2006)
N (0.7392, 0.2307, 0.7994)
Tc (0.4275, 0.4275, 0.7176)
Tc (0.5725, 0.5725, 0.2824)
Ba (0.7674, 0.7674, 0.6979)
Ba (0.2326, 0.2326, 0.3021)
Mo (0.0000, 0.0000, 0.0000)

- space-group type = No. 166
- final energy (eV/atom) = -8.20